Record 1
A crystal of NbSiPt3 relaxed with PBEsol, computed with SCAN.

Lattice parameters (Å, degrees): 4.4524 4.4524 4.4524 90.00 90.00 90.00
With the nearest neighbours (Å) after each atom.
Positions (direct):
Nb: 0.5000 0.5000 0.5000  12 Pt 3.15
Pt: 0.5000 0.0000 0.0000  2 Si 2.23
Pt: 0.0000 0.0000 0.5000  2 Si 2.23
Pt: 0.0000 0.5000 0.0000  2 Si 2.23
Si: 0.0000 0.0000 0.0000  6 Pt 2.23

Values from the calculation:
The uncorrected formation energy comes out at 0.8 eV/f.u. For the volume, the calculation gives 17.7 Å³/atom. The density of states at the Fermi level is 0.80 states/eV per atom.


Record 2
A crystal of Nb3SnPt relaxed with PBEsol, computed with SCAN.

Lattice parameters (Å, degrees): 4.8548 4.8548 4.8548 90.00 90.00 90.00
With the nearest neighbours (Å) after each atom.
Positions (direct):
Sn: 0.5000 0.5000 0.5000  12 Nb 3.43
Nb: 0.0000 0.0000 0.5000  2 Pt 2.43
Nb: 0.5000 0.0000 0.0000  2 Pt 2.43
Nb: 0.0000 0.5000 0.0000  2 Pt 2.43
Pt: 0.0000 0.0000 0.0000  6 Nb 2.43

Values from the calculation:
The value obtained for the formation enthalpy at 0 K is 676 meV/atom. For the volume, the calculation gives 22.9 Å³/atom. The density of states at the Fermi level is 0.77 states/eV per atom.


Record 3
A crystal of SrNbPt3 relaxed with PBEsol, computed with SCAN.

Lattice parameters (Å, degrees): 4.9548 4.9548 4.9548 90.00 90.00 90.00
With the nearest neighbours (Å) after each atom.
Positions (direct):
Pt: 0.0000 0.5000 0.0000  2 Sr 2.48
Pt: 0.0000 0.0000 0.5000  2 Sr 2.48
Pt: 0.5000 0.0000 0.0000  2 Sr 2.48
Nb: 0.5000 0.5000 0.5000  12 Pt 3.50
Sr: 0.0000 0.0000 0.0000  6 Pt 2.48

Values from the calculation:
The value obtained for the formation enthalpy at 0 K is 1903 meV/atom. For the volume, the calculation gives 24.3 Å³/atom. The density of states at the Fermi level is 1.30 states/eV per atom.


Record 4
A crystal of NbTcPt3 relaxed with PBEsol, computed with SCAN.

Lattice parameters (Å, degrees): 4.7686 4.7686 4.7686 90.00 90.00 90.00
With the nearest neighbours (Å) after each atom.
Positions (direct):
Tc: 0.5000 0.5000 0.5000  12 Pt 3.37
Nb: 0.0000 0.0000 0.0000  6 Pt 2.38
Pt: 0.0000 0.5000 0.0000  2 Nb 2.38
Pt: 0.5000 0.0000 0.0000  2 Nb 2.38
Pt: 0.0000 0.0000 0.5000  2 Nb 2.38

Values from the calculation:
The value obtained for the formation enthalpy at 0 K is 1309 meV/atom. For the volume, the calculation gives 21.7 Å³/atom. The density of states at the Fermi level is 0.75 states/eV per atom.


Record 5
A crystal of NbTc3Pt relaxed with PBEsol, computed with SCAN.

Lattice parameters (Å, degrees): 4.5711 4.5711 4.5711 90.00 90.00 90.00
With the nearest neighbours (Å) after each atom.
Positions (direct):
Tc: 0.0000 0.5000 0.0000  2 Nb 2.29
Tc: 0.5000 0.0000 0.0000  2 Nb 2.29
Tc: 0.0000 0.0000 0.5000  2 Nb 2.29
Nb: 0.0000 0.0000 0.0000  6 Tc 2.29
Pt: 0.5000 0.5000 0.5000  12 Tc 3.23

Values from the calculation:
The value obtained for the formation enthalpy at 0 K is 1994 meV/atom. For the volume, the calculation gives 19.1 Å³/atom. As for the energy above the lowest structure with this stoichiometry: 0.1365 eV/atom. The density of states at the Fermi level is 1.06 states/eV per atom.


Record 6
A crystal of NbTc3Pt relaxed with PBEsol, computed with SCAN.

Lattice parameters (Å, degrees): 4.6066 4.6066 4.6066 90.00 90.00 90.00
With the nearest neighbours (Å) after each atom.
Positions (direct):
Tc: 0.5000 0.0000 0.0000  2 Pt 2.30
Tc: 0.0000 0.5000 0.0000  2 Pt 2.30
Tc: 0.0000 0.0000 0.5000  2 Pt 2.30
Nb: 0.5000 0.5000 0.5000  12 Tc 3.26
Pt: 0.0000 0.0000 0.0000  6 Tc 2.30

Values from the calculation:
The value obtained for the formation enthalpy at 0 K is 1858 meV/atom. For the volume, the calculation gives 19.6 Å³/atom. As for the energy above the lowest structure with this stoichiometry: 0.0000 eV/atom. The density of states at the Fermi level is 1.85 states/eV per atom.


Record 7
A crystal of NbTe2Pt relaxed with PBEsol, computed with SCAN.

Lattice parameters (Å, degrees): 3.5826 3.5826 8.9260 78.42 78.42 60.00
With the nearest neighbours (Å) after each atom.
Positions (direct):
Pt: 0.5000 0.5000 0.5000  6 Te 2.67
Nb: 0.0000 0.0000 0.0000  2 Te 2.66
Te: 0.1021 0.1021 0.6938  1 Nb 2.66, 3 Pt 2.67
Te: 0.8979 0.8979 0.3062  1 Nb 2.66, 3 Pt 2.67

Values from the calculation:
The uncorrected formation energy comes out at 1.4 eV/f.u. For the volume, the calculation gives 24.1 Å³/atom. The density of states at the Fermi level is 0.77 states/eV per atom.


Record 8
A crystal of NbTl3Pt relaxed with PBEsol, computed with SCAN.

Lattice parameters (Å, degrees): 5.1785 5.1785 5.1785 90.00 90.00 90.00
With the nearest neighbours (Å) after each atom.
Positions (direct):
Tl: 0.0000 0.5000 0.0000  2 Pt 2.59
Tl: 0.0000 0.0000 0.5000  2 Pt 2.59
Tl: 0.5000 0.0000 0.0000  2 Pt 2.59
Pt: 0.0000 0.0000 0.0000  6 Tl 2.59
Nb: 0.5000 0.5000 0.5000  12 Tl 3.66

Values from the calculation:
The value obtained for the formation enthalpy at 0 K is 800 meV/atom. For the volume, the calculation gives 27.8 Å³/atom. The density of states at the Fermi level is 0.93 states/eV per atom.


Record 9
A crystal of Rb2NbRu relaxed with PBEsol, computed with SCAN.

Lattice parameters (Å, degrees): 5.4910 5.4910 5.4910 60.00 60.00 60.00
With the nearest neighbours (Å) after each atom.
Positions (direct):
Rb: 0.2500 0.2500 0.2500  4 Nb 3.36, 4 Ru 3.36
Rb: 0.7500 0.7500 0.7500  4 Ru 3.36, 4 Nb 3.36
Nb: 0.0000 0.0000 0.0000  8 Rb 3.36
Ru: 0.5000 0.5000 0.5000  8 Rb 3.36

Values from the calculation:
The value obtained for the formation enthalpy at 0 K is 2110 meV/atom. For the volume, the calculation gives 29.3 Å³/atom. The density of states at the Fermi level is 1.97 states/eV per atom.


Record 10
A crystal of RbNbRuS2 relaxed with PBEsol, computed with SCAN.

Lattice parameters (Å, degrees): 4.7217 4.9223 4.9223 90.00 90.00 90.00
With the nearest neighbours (Å) after each atom.
Positions (direct):
Ru: 0.5000 0.0000 0.0000  2 Nb 2.36
S: 0.0000 0.0000 0.5000  2 Nb 2.46
S: 0.0000 0.5000 0.0000  2 Nb 2.46
Rb: 0.5000 0.5000 0.5000  8 S 3.41, 4 Ru 3.48
Nb: 0.0000 0.0000 0.0000  2 Ru 2.36, 4 S 2.46

Values from the calculation:
The uncorrected formation energy comes out at -0.5 eV/f.u. For the volume, the calculation gives 22.9 Å³/atom. The density of states at the Fermi level is 0.36 states/eV per atom.


Record 11
A crystal of Rb2Nb2S relaxed with PBEsol, computed with SCAN.

Lattice parameters (Å, degrees): 3.6533 3.6533 11.7847 98.92 98.92 90.00
With the nearest neighbours (Å) after each atom.
Positions (direct):
S: 0.0000 0.0000 0.0000  8 Rb 3.22
Rb: 0.5839 0.5839 0.1677  4 S 3.22
Rb: 0.4161 0.4161 0.8323  4 S 3.22
Nb: 0.7500 0.2500 0.5000  4 Nb 2.58
Nb: 0.2500 0.7500 0.5000  4 Nb 2.58

Values from the calculation:
The uncorrected formation energy comes out at 1.5 eV/f.u. For the volume, the calculation gives 30.7 Å³/atom. The density of states at the Fermi level is 0.75 states/eV per atom.


Record 12
A crystal of Rb3NbS relaxed with PBEsol, computed with SCAN.

Lattice parameters (Å, degrees): 6.3336 6.3336 6.3336 90.00 90.00 90.00
With the nearest neighbours (Å) after each atom.
Positions (direct):
Rb: 0.0000 0.0000 0.5000  2 Nb 3.17
Rb: 0.5000 0.0000 0.0000  2 Nb 3.17
Rb: 0.0000 0.5000 0.0000  2 Nb 3.17
S: 0.5000 0.5000 0.5000  12 Rb 4.48
Nb: 0.0000 0.0000 0.0000  6 Rb 3.17

Values from the calculation:
The uncorrected formation energy comes out at 4.3 eV/f.u. For the volume, the calculation gives 50.8 Å³/atom. The density of states at the Fermi level is 1.26 states/eV per atom.